1.
# KNa2Hg6, relaxed, DFT PBE-GGA
data_KNa2Hg6
_cell_length_a 9.2060
_cell_length_b 9.2060
_cell_length_c 3.3978
_cell_angle_alpha 90.00
_cell_angle_beta 90.00
_cell_angle_gamma 120.00
_symmetry_space_group_name_H-M 'P 6/m m m'
_symmetry_Int_Tables_number 191
_symmetry_space_group_name_Hall '-P 6 2'
loop_
_atom_site_label
_atom_site_type_symbol
_atom_site_fract_x
_atom_site_fract_y
_atom_site_fract_z
_atom_site_occupancy
K1 K 0.0000 0.0000 0.0000 1
Na1 Na 0.3333 0.6667 0.0000 1
Hg1 Hg 0.0000 0.3382 0.5000 1
# - formation enthalpy at 0 K (eV per atom) = -0.23
# - E (eV per cell) = -7.6
# - energy above the lowest structure with this stoichiometry (eV per atom) = 0.000
# - crystal system = hexagonal
# - DOS at the Fermi energy (states/eV/f.u.) = 2.93

---

2.
# K4NaHg2, relaxed, DFT PBE-GGA
data_K4NaHg2
_cell_length_a 6.781
_cell_length_b 6.781
_cell_length_c 17.489
_cell_angle_alpha 90.00
_cell_angle_beta 90.00
_cell_angle_gamma 90.00
_symmetry_space_group_name_H-M 'I 4/m m m'
_symmetry_Int_Tables_number 139
_symmetry_space_group_name_Hall '-I 4 2'
loop_
_atom_site_label
_atom_site_type_symbol
_atom_site_fract_x
_atom_site_fract_y
_atom_site_fract_z
_atom_site_occupancy
K1 K 0.000 0.000 0.216 1
K2 K 0.000 0.500 0.000 1
Na1 Na 0.000 0.000 0.000 1
Hg1 Hg 0.000 0.000 0.413 1
# - formation enthalpy at 0 K (eV per atom) = 0.01
# - E (eV per cell) = -12.5
# - energy above the lowest structure with this stoichiometry (eV per atom) = 0.114
# - crystal system = tetragonal
# - DOS at the Fermi energy (states/eV/f.u.) = 6.32

---

3.
# K2Na3Hg9, relaxed, DFT PBE-GGA
data_K2Na3Hg9
_cell_length_a 15.328
_cell_length_b 9.324
_cell_length_c 11.658
_cell_angle_alpha 90.00
_cell_angle_beta 90.00
_cell_angle_gamma 90.00
_symmetry_space_group_name_H-M 'C m c m'
_symmetry_Int_Tables_number 63
_symmetry_space_group_name_Hall '-C 2c 2'
loop_
_atom_site_label
_atom_site_type_symbol
_atom_site_fract_x
_atom_site_fract_y
_atom_site_fract_z
_atom_site_occupancy
K1 K 0.162 0.166 0.250 1
Na1 Na 0.000 0.000 0.000 1
Na2 Na 0.185 0.500 0.000 1
Hg1 Hg 0.000 0.124 0.750 1
Hg2 Hg 0.000 0.343 0.061 1
Hg3 Hg 0.105 0.451 0.750 1
Hg4 Hg 0.156 0.187 0.579 1
# - formation enthalpy at 0 K (eV per atom) = -0.22
# - E (eV per cell) = -47.9
# - crystal system = orthorhombic
# - DOS at the Fermi energy (states/eV/f.u.) = 6.03

---

4.
# KNa6Hg6, relaxed, DFT PBE-GGA
data_KNa6Hg6
_cell_length_a 6.185
_cell_length_b 10.816
_cell_length_c 11.222
_cell_angle_alpha 90.00
_cell_angle_beta 90.00
_cell_angle_gamma 90.00
_symmetry_space_group_name_H-M 'I m m m'
_symmetry_Int_Tables_number 71
_symmetry_space_group_name_Hall '-I 2 2'
loop_
_atom_site_label
_atom_site_type_symbol
_atom_site_fract_x
_atom_site_fract_y
_atom_site_fract_z
_atom_site_occupancy
K1 K 0.000 0.000 0.000 1
Na1 Na 0.000 0.000 0.350 1
Na2 Na 0.000 0.337 0.000 1
Na3 Na 0.000 0.500 0.308 1
Hg1 Hg 0.000 0.275 0.500 1
Hg2 Hg 0.250 0.250 0.250 1
# - formation enthalpy at 0 K (eV per atom) = -0.20
# - E (eV per cell) = -26.8
# - crystal system = orthorhombic
# - DOS at the Fermi energy (states/eV/f.u.) = 5.13

---

5.
# K3NaHg2, relaxed, DFT PBE-GGA
data_K3NaHg2
_cell_length_a 9.3174
_cell_length_b 9.3174
_cell_length_c 22.5128
_cell_angle_alpha 90.00
_cell_angle_beta 90.00
_cell_angle_gamma 120.00
_symmetry_space_group_name_H-M 'R -3 c'
_symmetry_Int_Tables_number 167
_symmetry_space_group_name_Hall '-R 3 2"c'
loop_
_atom_site_label
_atom_site_type_symbol
_atom_site_fract_x
_atom_site_fract_y
_atom_site_fract_z
_atom_site_occupancy
K1 K 0.0000 0.2809 0.2500 1
Na1 Na 0.0000 0.0000 0.0000 1
Hg1 Hg 0.0000 0.0000 0.1399 1
# - formation enthalpy at 0 K (eV per atom) = -0.12
# - E (eV per cell) = -35.6
# - energy above the lowest structure with this stoichiometry (eV per atom) = 0.040
# - crystal system = trigonal
# - DOS at the Fermi energy (states/eV/f.u.) = 2.14

---

6.
# KNaHg4, relaxed, DFT PBE-GGA
data_KNaHg4
_cell_length_a 8.860
_cell_length_b 8.860
_cell_length_c 8.860
_cell_angle_alpha 90.00
_cell_angle_beta 90.00
_cell_angle_gamma 90.00
_symmetry_space_group_name_H-M 'F -4 3 m'
_symmetry_Int_Tables_number 216
_symmetry_space_group_name_Hall 'F -4 2 3'
loop_
_atom_site_label
_atom_site_type_symbol
_atom_site_fract_x
_atom_site_fract_y
_atom_site_fract_z
_atom_site_occupancy
K1 K 0.000 0.000 0.000 1
Na1 Na 0.250 0.250 0.250 1
Hg1 Hg 0.125 0.125 0.625 1
# - formation enthalpy at 0 K (eV per atom) = -0.20
# - E (eV per cell) = -19.3
# - energy above the lowest structure with this stoichiometry (eV per atom) = 0.056
# - crystal system = cubic
# - DOS at the Fermi energy (states/eV/f.u.) = 2.11

---

| no. | magnetic moment (μB/cell) | calculated volume (Å³/atom) |
| --- | --- | --- |
| 1 | 0.00 | 27.71 |
| 2 | 0.00 | 57.44 |
| 3 | 0.00 | 29.75 |
| 4 | 0.00 | 28.87 |
| 5 | 0.00 | 47.02 |
| 6 | 0.00 | 28.98 |